Here is an optimized crystal structure of Ta2MoO8 from Alexandria via LeMat-Bulk. Energies are from PBE+U.

Results
Energy above the most stable polymorph in this dataset (eV/atom): 0.0000

Lattice parameters (Å, degrees): 5.500 5.515 6.880 79.24 79.65 65.82
Space group P-1 (No. 2)
Symmetry-distinct sites (fractional):
Ta1 0.100 0.091 0.291
Mo1 0.500 0.500 0.000
O1 0.121 0.119 0.557
O2 0.199 0.671 0.844
O3 0.316 0.303 0.172
O4 0.341 0.785 0.169